# PBE K2MoI2, optimized geometry
# ρ = 3.40 g cm⁻³
# Raw formation energy = 0.3 eV/f.u.
# N(E_F) = 0.032 states/eV/atom
# Magnetization = 6.0 μB/f.u.
data_K2MoI2
_chemical_formula_sum 'K4 Mo2 I4'
_symmetry_space_group_name_H-M 'P 4/m b m'
_symmetry_Int_Tables_number 127
_symmetry_space_group_name_Hall '-P 4 2ab'
_cell_length_a 9.741
_cell_length_b 9.741
_cell_length_c 4.403
_cell_angle_alpha 90.00
_cell_angle_beta 90.00
_cell_angle_gamma 90.00
loop_
_atom_site_label
_atom_site_type_symbol
_atom_site_fract_x
_atom_site_fract_y
_atom_site_fract_z
K1 K 0.141 0.359 0.000
Mo1 Mo 0.000 0.000 0.000
I1 I 0.159 0.659 0.500